No. 1
# V2ReOs, relaxed, DFT PBE-GGA
# ΔH_f (0 K) in eV per atom: -0.315
# Calculated density in Mg/m³: 14.28
# Spin magnetization in μB per cell: 0.000
data_V2ReOs
_chemical_formula_sum 'V2 Re1 Os1'
_cell_length_a 3.028
_cell_length_b 3.028
_cell_length_c 6.066
_cell_angle_alpha 90.00
_cell_angle_beta 90.00
_cell_angle_gamma 90.00
_symmetry_space_group_name_H-M 'P 4/m m m'
_symmetry_Int_Tables_number 123
_symmetry_space_group_name_Hall '-P 4 2'
loop_
_atom_site_label
_atom_site_type_symbol
_atom_site_fract_x
_atom_site_fract_y
_atom_site_fract_z
V1 V 0.000 0.000 0.246
Re1 Re 0.500 0.500 0.000
Os1 Os 0.500 0.500 0.500



No. 2
# V7Ga3, relaxed, DFT PBE-GGA
# ΔH_f (0 K) in eV per atom: -0.163
# Calculated density in Mg/m³: 6.83
# Spin magnetization in μB per cell: 0.000
data_V7Ga3
_chemical_formula_sum 'V14 Ga6'
_cell_length_a 13.535
_cell_length_b 4.134
_cell_length_c 5.240
_cell_angle_alpha 90.00
_cell_angle_beta 110.23
_cell_angle_gamma 90.00
_symmetry_space_group_name_H-M 'C 1 2/m 1'
_symmetry_Int_Tables_number 12
_symmetry_space_group_name_Hall '-C 2y'
loop_
_atom_site_label
_atom_site_type_symbol
_atom_site_fract_x
_atom_site_fract_y
_atom_site_fract_z
V1 V 0.000 0.000 0.000
V2 V 0.101 0.500 0.387
V3 V 0.101 0.500 0.888
V4 V 0.196 0.000 0.768
Ga1 Ga 0.000 0.000 0.500
Ga2 Ga 0.200 0.000 0.256



No. 3
# LaAuI2O, relaxed, DFT PBE-GGA
# Formation energy from raw total energies in kJ/mol of atoms: -93.44
# Calculated density in Mg/m³: 5.63
# Spin magnetization in μB per cell: 0.000
data_LaAuI2O
_chemical_formula_sum 'La1 Au1 I2 O1'
_cell_length_a 6.472
_cell_length_b 6.472
_cell_length_c 4.269
_cell_angle_alpha 90.00
_cell_angle_beta 90.00
_cell_angle_gamma 90.00
_symmetry_space_group_name_H-M 'P 4/m m m'
_symmetry_Int_Tables_number 123
_symmetry_space_group_name_Hall '-P 4 2'
loop_
_atom_site_label
_atom_site_type_symbol
_atom_site_fract_x
_atom_site_fract_y
_atom_site_fract_z
La1 La 0.000 0.000 0.000
Au1 Au 0.500 0.500 0.500
I1 I 0.000 0.500 0.000
O1 O 0.000 0.000 0.500



No. 4
# Li2BePt, relaxed, DFT PBE-GGA
# ΔH_f (0 K) in eV per atom: -0.379
# Calculated density in Mg/m³: 6.48
# Spin magnetization in μB per cell: 0.000
data_Li2BePt
_chemical_formula_sum 'Li2 Be1 Pt1'
_cell_length_a 2.890
_cell_length_b 2.890
_cell_length_c 6.691
_cell_angle_alpha 90.00
_cell_angle_beta 90.00
_cell_angle_gamma 90.00
_symmetry_space_group_name_H-M 'P 4 m m'
_symmetry_Int_Tables_number 99
_symmetry_space_group_name_Hall 'P 4 -2'
loop_
_atom_site_label
_atom_site_type_symbol
_atom_site_fract_x
_atom_site_fract_y
_atom_site_fract_z
Li1 Li 0.000 0.000 0.000
Li2 Li 0.500 0.500 0.325
Be1 Be 0.500 0.500 0.747
Pt1 Pt 0.000 0.000 0.585



No. 5
# ThSiGeIr, relaxed, DFT PBE-GGA
# Formation energy from raw total energies in kJ/mol of atoms: -78.88
# Calculated density in Mg/m³: 10.90
# Spin magnetization in μB per cell: 0.000
data_ThSiGeIr
_chemical_formula_sum 'Th2 Si2 Ge2 Ir2'
_cell_length_a 4.141
_cell_length_b 4.141
_cell_length_c 9.326
_cell_angle_alpha 90.00
_cell_angle_beta 90.00
_cell_angle_gamma 90.00
_symmetry_space_group_name_H-M 'P 4/n m m'
_symmetry_Int_Tables_number 129
loop_
_symmetry_equiv_pos_as_xyz
'x,y,z'
'-x,-y,-z'
'-y+1/2,x,z'
'y+1/2,-x,-z'
'-x+1/2,-y+1/2,z'
'x+1/2,y+1/2,-z'
'y,-x+1/2,z'
'-y,x+1/2,-z'
'x+1/2,-y,-z'
'-x+1/2,y,z'
'-y,-x,-z'
'y,x,z'
'-x,y+1/2,-z'
'x,-y+1/2,z'
'y+1/2,x+1/2,-z'
'-y+1/2,-x+1/2,z'
loop_
_atom_site_label
_atom_site_type_symbol
_atom_site_fract_x
_atom_site_fract_y
_atom_site_fract_z
Th1 Th 0.250 0.250 0.217
Si1 Si 0.250 0.250 0.637
Ge1 Ge 0.250 0.250 0.894
Ir1 Ir 0.250 0.750 0.500



No. 6
# HfSbAs2Se, relaxed, DFT PBE-GGA
# Formation energy from raw total energies in kJ/mol of atoms: 81.61
# Calculated density in Mg/m³: 6.52
# Spin magnetization in μB per cell: 0.000
data_HfSbAs2Se
_chemical_formula_sum 'Hf1 Sb1 As2 Se1'
_cell_length_a 5.117
_cell_length_b 5.117
_cell_length_c 5.144
_cell_angle_alpha 90.00
_cell_angle_beta 90.00
_cell_angle_gamma 90.00
_symmetry_space_group_name_H-M 'P 4/m m m'
_symmetry_Int_Tables_number 123
_symmetry_space_group_name_Hall '-P 4 2'
loop_
_atom_site_label
_atom_site_type_symbol
_atom_site_fract_x
_atom_site_fract_y
_atom_site_fract_z
Hf1 Hf 0.000 0.000 0.000
Sb1 Sb 0.500 0.500 0.500
As1 As 0.000 0.500 0.500
Se1 Se 0.500 0.500 0.000



No. 7
# CaCrW2, relaxed, DFT PBE-GGA
# ΔH_f (0 K) in eV per atom: 0.823
# Calculated density in Mg/m³: 10.59
# Spin magnetization in μB per cell: 0.017
data_CaCrW2
_chemical_formula_sum 'Ca3 Cr3 W6'
_cell_length_a 3.0033
_cell_length_b 3.0033
_cell_length_c 27.6830
_cell_angle_alpha 90.00
_cell_angle_beta 90.00
_cell_angle_gamma 120.00
_symmetry_space_group_name_H-M 'R 3 m'
_symmetry_Int_Tables_number 160
_symmetry_space_group_name_Hall 'R 3 -2"'
loop_
_atom_site_label
_atom_site_type_symbol
_atom_site_fract_x
_atom_site_fract_y
_atom_site_fract_z
Ca1 Ca 0.0000 0.0000 0.0000
Cr1 Cr 0.0000 0.0000 0.7612
W1 W 0.0000 0.0000 0.2365
W2 W 0.0000 0.0000 0.4918



No. 8
# Ac3Cu2O7, relaxed, DFT PBE-GGA
# Formation energy from raw total energies in kJ/mol of atoms: -212.82
# Calculated density in Mg/m³: 9.00
# Spin magnetization in μB per cell: 0.000
data_Ac3Cu2O7
_chemical_formula_sum 'Ac6 Cu4 O14'
_cell_length_a 3.921
_cell_length_b 22.551
_cell_length_c 3.838
_cell_angle_alpha 90.00
_cell_angle_beta 90.00
_cell_angle_gamma 90.00
_symmetry_space_group_name_H-M 'C m m m'
_symmetry_Int_Tables_number 65
_symmetry_space_group_name_Hall '-C 2 2'
loop_
_atom_site_label
_atom_site_type_symbol
_atom_site_fract_x
_atom_site_fract_y
_atom_site_fract_z
Ac1 Ac 0.000 0.000 0.000
Ac2 Ac 0.000 0.169 0.000
Cu1 Cu 0.000 0.408 0.500
O1 O 0.000 0.091 0.500
O2 O 0.000 0.309 0.500
O3 O 0.000 0.408 0.000
O4 O 0.000 0.500 0.500



No. 9
# Na3Ho3SnO8, relaxed, DFT PBE-GGA
# Formation energy from raw total energies in kJ/mol of atoms: -249.29
# Calculated density in Mg/m³: 6.11
# Spin magnetization in μB per cell: 0.000
data_Na3Ho3SnO8
_chemical_formula_sum 'Na9 Ho9 Sn3 O24'
_cell_length_a 6.7442
_cell_length_b 6.7442
_cell_length_c 16.7696
_cell_angle_alpha 90.00
_cell_angle_beta 90.00
_cell_angle_gamma 120.00
_symmetry_space_group_name_H-M 'R -3 m'
_symmetry_Int_Tables_number 166
_symmetry_space_group_name_Hall '-R 3 2"'
loop_
_atom_site_label
_atom_site_type_symbol
_atom_site_fract_x
_atom_site_fract_y
_atom_site_fract_z
Na1 Na 0.0000 0.5000 0.0000
Ho1 Ho 0.0000 0.5000 0.5000
Sn1 Sn 0.0000 0.0000 0.5000
O1 O 0.0000 0.0000 0.2347
O2 O 0.0227 0.5113 0.2337



No. 10
# La2MgAs4Pt3, relaxed, DFT PBE-GGA
# ΔH_f (0 K) in eV per atom: -0.943
# Calculated density in Mg/m³: 9.55
# Spin magnetization in μB per cell: 0.000
data_La2MgAs4Pt3
_chemical_formula_sum 'La2 Mg1 As4 Pt3'
_cell_length_a 4.460
_cell_length_b 4.460
_cell_length_c 10.376
_cell_angle_alpha 90.00
_cell_angle_beta 90.00
_cell_angle_gamma 90.00
_symmetry_space_group_name_H-M 'P -4 m 2'
_symmetry_Int_Tables_number 115
_symmetry_space_group_name_Hall 'P -4 -2'
loop_
_atom_site_label
_atom_site_type_symbol
_atom_site_fract_x
_atom_site_fract_y
_atom_site_fract_z
La1 La 0.000 0.500 0.238
Mg1 Mg 0.000 0.000 0.500
As1 As 0.000 0.000 0.000
As2 As 0.000 0.500 0.641
As3 As 0.500 0.500 0.000
Pt1 Pt 0.000 0.500 0.883
Pt2 Pt 0.500 0.500 0.500



No. 11
# ErPd3S4, relaxed, DFT PBE-GGA
# Formation energy from raw total energies in kJ/mol of atoms: -83.54
# Calculated density in Mg/m³: 6.83
# Spin magnetization in μB per cell: 0.000
data_ErPd3S4
_chemical_formula_sum 'Er2 Pd6 S8'
_cell_length_a 6.686
_cell_length_b 6.686
_cell_length_c 6.686
_cell_angle_alpha 90.00
_cell_angle_beta 90.00
_cell_angle_gamma 90.00
_symmetry_space_group_name_H-M 'P m -3 n'
_symmetry_Int_Tables_number 223
_symmetry_space_group_name_Hall '-P 4n 2 3'
loop_
_atom_site_label
_atom_site_type_symbol
_atom_site_fract_x
_atom_site_fract_y
_atom_site_fract_z
Er1 Er 0.000 0.000 0.000
Pd1 Pd 0.000 0.250 0.500
S1 S 0.250 0.250 0.250



No. 12
# KLiSnF6, relaxed, DFT PBE-GGA
# Formation energy from raw total energies in kJ/mol of atoms: -266.36
# Calculated density in Mg/m³: 3.14
# Spin magnetization in μB per cell: 0.000
data_KLiSnF6
_chemical_formula_sum 'K2 Li2 Sn2 F12'
_cell_length_a 5.4504
_cell_length_b 5.4504
_cell_length_c 11.4715
_cell_angle_alpha 90.00
_cell_angle_beta 90.00
_cell_angle_gamma 120.00
_symmetry_space_group_name_H-M 'P -3 1 c'
_symmetry_Int_Tables_number 163
_symmetry_space_group_name_Hall '-P 3 2c'
loop_
_atom_site_label
_atom_site_type_symbol
_atom_site_fract_x
_atom_site_fract_y
_atom_site_fract_z
K1 K 0.0000 0.0000 0.0000
Li1 Li 0.3333 0.6667 0.2500
Sn1 Sn 0.3333 0.6667 0.7500
F1 F 0.0113 0.3811 0.6522



No. 13
# Pu2ZrIn3, relaxed, DFT PBE-GGA
# ΔH_f (0 K) in eV per atom: -0.115
# Calculated density in Mg/m³: 9.98
# Spin magnetization in μB per cell: 22.550
data_Pu2ZrIn3
_chemical_formula_sum 'Pu4 Zr2 In6'
_cell_length_a 6.1951
_cell_length_b 6.1951
_cell_length_c 9.2520
_cell_angle_alpha 90.00
_cell_angle_beta 90.00
_cell_angle_gamma 120.00
_symmetry_space_group_name_H-M 'P 63/m m c'
_symmetry_Int_Tables_number 194
_symmetry_space_group_name_Hall '-P 6c 2c'
loop_
_atom_site_label
_atom_site_type_symbol
_atom_site_fract_x
_atom_site_fract_y
_atom_site_fract_z
Pu1 Pu 0.3333 0.6667 0.0704
Zr1 Zr 0.0000 0.0000 0.0000
In1 In 0.1740 0.3480 0.7500



No. 14
# Li2TmAu5, relaxed, DFT PBE-GGA
# ΔH_f (0 K) in eV per atom: -0.504
# Calculated density in Mg/m³: 13.17
# Spin magnetization in μB per cell: 0.000
data_Li2TmAu5
_chemical_formula_sum 'Li8 Tm4 Au20'
_cell_length_a 7.194
_cell_length_b 7.194
_cell_length_c 11.379
_cell_angle_alpha 90.00
_cell_angle_beta 90.00
_cell_angle_gamma 90.00
_symmetry_space_group_name_H-M 'I 4/m c m'
_symmetry_Int_Tables_number 140
_symmetry_space_group_name_Hall '-I 4 2c'
loop_
_atom_site_label
_atom_site_type_symbol
_atom_site_fract_x
_atom_site_fract_y
_atom_site_fract_z
Li1 Li 0.153 0.347 0.000
Tm1 Tm 0.000 0.000 0.250
Au1 Au 0.000 0.000 0.000
Au2 Au 0.146 0.354 0.345



No. 15
# CeHg6Bi2, relaxed, DFT PBE-GGA
# ΔH_f (0 K) in eV per atom: -0.140
# Calculated density in Mg/m³: 11.39
# Spin magnetization in μB per cell: 0.917
data_CeHg6Bi2
_chemical_formula_sum 'Ce1 Hg6 Bi2'
_cell_length_a 5.1659
_cell_length_b 5.1659
_cell_length_c 11.1118
_cell_angle_alpha 90.00
_cell_angle_beta 90.00
_cell_angle_gamma 120.00
_symmetry_space_group_name_H-M 'P -3 m 1'
_symmetry_Int_Tables_number 164
_symmetry_space_group_name_Hall '-P 3 2"'
loop_
_atom_site_label
_atom_site_type_symbol
_atom_site_fract_x
_atom_site_fract_y
_atom_site_fract_z
Ce1 Ce 0.0000 0.0000 0.0000
Hg1 Hg 0.0000 0.0000 0.3378
Hg2 Hg 0.3333 0.6667 0.5542
Hg3 Hg 0.3333 0.6667 0.8850
Bi1 Bi 0.3333 0.6667 0.1975



No. 16
# MgZn8Ag4, relaxed, DFT PBE-GGA
# ΔH_f (0 K) in eV per atom: -0.007
# Calculated density in Mg/m³: 7.45
# Spin magnetization in μB per cell: 0.000
data_MgZn8Ag4
_chemical_formula_sum 'Mg1 Zn8 Ag4'
_cell_length_a 3.010
_cell_length_b 4.342
_cell_length_c 16.700
_cell_angle_alpha 90.00
_cell_angle_beta 90.00
_cell_angle_gamma 90.00
_symmetry_space_group_name_H-M 'P m m 2'
_symmetry_Int_Tables_number 25
_symmetry_space_group_name_Hall 'P 2 -2'
loop_
_atom_site_label
_atom_site_type_symbol
_atom_site_fract_x
_atom_site_fract_y
_atom_site_fract_z
Mg1 Mg 0.000 0.000 0.000
Zn1 Zn 0.000 0.000 0.559
Zn2 Zn 0.000 0.000 0.838
Zn3 Zn 0.000 0.500 0.153
Zn4 Zn 0.000 0.500 0.744
Zn5 Zn 0.500 0.000 0.136
Zn6 Zn 0.500 0.000 0.412
Zn7 Zn 0.500 0.500 0.308
Zn8 Zn 0.500 0.500 0.596
Ag1 Ag 0.000 0.000 0.271
Ag2 Ag 0.000 0.500 0.453
Ag3 Ag 0.500 0.000 0.699
Ag4 Ag 0.500 0.500 0.900



No. 17
# LaSbOs2, relaxed, DFT PBE-GGA
# Formation energy from raw total energies in kJ/mol of atoms: 17.21
# Calculated density in Mg/m³: 12.54
# Spin magnetization in μB per cell: 0.000
data_LaSbOs2
_chemical_formula_sum 'La1 Sb1 Os2'
_cell_length_a 2.978
_cell_length_b 3.933
_cell_length_c 7.245
_cell_angle_alpha 90.00
_cell_angle_beta 90.00
_cell_angle_gamma 90.00
_symmetry_space_group_name_H-M 'P m m 2'
_symmetry_Int_Tables_number 25
_symmetry_space_group_name_Hall 'P 2 -2'
loop_
_atom_site_label
_atom_site_type_symbol
_atom_site_fract_x
_atom_site_fract_y
_atom_site_fract_z
La1 La 0.000 0.000 0.000
Sb1 Sb 0.500 0.500 0.648
Os1 Os 0.000 0.000 0.412
Os2 Os 0.500 0.500 0.271



No. 18
# K2TeRh, relaxed, DFT PBE-GGA
# Formation energy from raw total energies in kJ/mol of atoms: 18.43
# Calculated density in Mg/m³: 4.56
# Spin magnetization in μB per cell: 0.760
data_K2TeRh
_chemical_formula_sum 'K2 Te1 Rh1'
_cell_length_a 3.301
_cell_length_b 3.301
_cell_length_c 10.321
_cell_angle_alpha 90.00
_cell_angle_beta 90.00
_cell_angle_gamma 90.00
_symmetry_space_group_name_H-M 'P 4/m m m'
_symmetry_Int_Tables_number 123
_symmetry_space_group_name_Hall '-P 4 2'
loop_
_atom_site_label
_atom_site_type_symbol
_atom_site_fract_x
_atom_site_fract_y
_atom_site_fract_z
K1 K 0.000 0.000 0.229
Te1 Te 0.500 0.500 0.500
Rh1 Rh 0.500 0.500 0.000



No. 19
# CsRbSnBr6, relaxed, DFT PBE-GGA
# Formation energy from raw total energies in kJ/mol of atoms: -111.45
# Calculated density in Mg/m³: 3.17
# Spin magnetization in μB per cell: 0.000
data_CsRbSnBr6
_chemical_formula_sum 'Cs1 Rb1 Sn1 Br6'
_cell_length_a 8.2433
_cell_length_b 8.2433
_cell_length_c 7.2763
_cell_angle_alpha 90.00
_cell_angle_beta 90.00
_cell_angle_gamma 120.00
_symmetry_space_group_name_H-M 'P 3 1 2'
_symmetry_Int_Tables_number 149
_symmetry_space_group_name_Hall 'P 3 2'
loop_
_atom_site_label
_atom_site_type_symbol
_atom_site_fract_x
_atom_site_fract_y
_atom_site_fract_z
Cs1 Cs 0.0000 0.0000 0.0000
Rb1 Rb 0.3333 0.6667 0.5000
Sn1 Sn 0.6667 0.3333 0.5000
Br1 Br 0.4049 0.0701 0.7132



No. 20
# Ac2URu2N6, relaxed, DFT PBE-GGA
# Formation energy from raw total energies in kJ/mol of atoms: -56.83
# Calculated density in Mg/m³: 9.28
# Spin magnetization in μB per cell: 0.001
data_Ac2URu2N6
_chemical_formula_sum 'Ac6 U3 Ru6 N18'
_cell_length_a 5.7902
_cell_length_b 5.7902
_cell_length_c 18.0819
_cell_angle_alpha 90.00
_cell_angle_beta 90.00
_cell_angle_gamma 120.00
_symmetry_space_group_name_H-M 'R -3 m'
_symmetry_Int_Tables_number 166
_symmetry_space_group_name_Hall '-R 3 2"'
loop_
_atom_site_label
_atom_site_type_symbol
_atom_site_fract_x
_atom_site_fract_y
_atom_site_fract_z
Ac1 Ac 0.0000 0.0000 0.2122
U1 U 0.0000 0.0000 0.0000
Ru1 Ru 0.0000 0.0000 0.3915
N1 N 0.0194 0.5097 0.7553



no.,N(E_F) (states/eV/cell),calculated total energy (eV per atom)
1,3.34,-10.79
2,13.36,-7.45
3,1.50,-4.22
4,1.91,-3.78
5,5.06,-7.40
6,1.88,-4.53
7,11.01,-8.56
8,4.93,-6.81
9,0.00,-6.67
10,4.92,-5.76
11,5.45,-5.45
12,0.00,-4.79
13,35.10,-7.69
14,10.52,-3.59
15,8.26,-1.86
16,2.92,-1.79
17,2.94,-7.70
18,4.09,-2.98
19,0.00,-2.92
20,24.09,-8.59